Entry from the Alexandria database: Rb2SrTiCl6 after structural relaxation (PBE).

Cell lengths 10.7327, 10.7327, 10.7327 Å; angles 90.00, 90.00, 90.00 degrees
With the nearest neighbours (Å) after each atom.
Space group Fm-3m (No. 225)
Unique sites:
Rb 0.2500 0.2500 0.2500  12 Cl 3.80
Sr 0.0000 0.0000 0.0000  6 Cl 2.84
Ti 0.0000 0.0000 0.5000  6 Cl 2.53
Cl 0.0000 0.0000 0.2646  1 Ti 2.53

=====

Entry from the Alexandria database: RbSrTlCl6 after structural relaxation (PBE).

Cell lengths 7.3356, 7.3356, 13.9650 Å; angles 90.00, 90.00, 120.00 degrees
With the nearest neighbours (Å) after each atom.
Space group P-31c (No. 163)
Unique sites:
Rb 0.0000 0.0000 0.0000  6 Cl 3.35
Sr 0.3333 0.6667 0.2500  6 Cl 2.92
Tl 0.3333 0.6667 0.7500  6 Cl 2.65
Cl 0.0282 0.3843 0.6403  1 Tl 2.65, 1 Sr 2.92

=====

Entry from the Alexandria database: RbSrTlCl4 after structural relaxation (PBE).

Cell lengths 5.6549, 5.6549, 16.5860 Å; angles 90.00, 90.00, 90.00 degrees
With the nearest neighbours (Å) after each atom.
Space group I4mm (No. 107)
Unique sites:
Rb 0.0000 0.0000 0.0000  5 Cl 3.18-3.54
Sr 0.0000 0.0000 0.3625  6 Cl 2.83-2.94
Tl 0.0000 0.0000 0.7113  1 Cl 2.85
Cl 0.0000 0.0000 0.1919  1 Sr 2.83
Cl 0.0000 0.0000 0.5396  1 Tl 2.85, 1 Sr 2.94
Cl 0.0000 0.5000 0.3717  2 Sr 2.83

=====

| no. | E (eV per atom) |
| --- | --- |
| 1 | -4.169 |
| 2 | -3.366 |
| 3 | -3.635 |